No. 1
Cs3HfCu: single point on PBEsol structure, SCAN.

a = 6.865 Å, b = 6.865 Å, c = 6.865 Å
α = 90.00°, β = 90.00°, γ = 90.00°
Each line ends with the local moment (μB).
Atoms (fractional coordinates):
Cs: 0.000 0.500 0.000  0.06
Cs: 0.000 0.000 0.500  0.06
Cs: 0.500 0.000 0.000  0.06
Hf: 0.000 0.000 0.000  1.74
Cu: 0.500 0.500 0.500  -0.01

Results
Space-group type = No. 221
Formation energy = 32.84 kcal/mol of atoms



No. 2
SbOsPt: single point on PBEsol structure, SCAN.

a = 3.192 Å, b = 3.192 Å, c = 5.378 Å
α = 107.26°, β = 107.26°, γ = 90.00°
Atoms (fractional coordinates):
Os: 0.989 0.989 0.979
Pt: 0.672 0.672 0.344
Sb: 0.338 0.338 0.677

Results
Space-group type = No. 107
Formation energy without anion corrections = 0.579 eV per atom



The evaluated raw total energy for the records listed, in turn: -184.2; -177.6 eV per cell.
The evaluated theoretical density for the records listed, in turn: 3.29; 16.93 Mg/m³.